No. 1
## BaOsPb4 (PBE-GGA)

Data for an optimized crystal structure of BaOsPb4.

Geometry as extended XYZ:
```
6
Lattice="0.0000 4.5182 4.5182 4.5182 0.0000 4.5182 4.5182 4.5182 0.0000" Properties=species:S:1:pos:R:3 pbc="T T T"
Ba 6.7772 6.7772 6.7772
Os 0.0000 0.0000 0.0000
Pb 3.3760 5.6603 5.6603
Pb 5.6603 5.6603 3.3760
Pb 5.6603 3.3760 5.6603
Pb 3.3760 3.3760 3.3760
```

formation energy from the elements = 710 meV/atom
calculated volume = 184.5 Å³/cell
uncorrected energy = -3.9547 eV per atom
calculated density = 10.4 g cm⁻³

No. 2
## MgCu2Tc (PBE-GGA)

Data for an optimized crystal structure of MgCu2Tc.

Geometry as extended XYZ:
```
4
Lattice="5.3397 0.0002 0.0044 2.6610 4.6294 -0.0044 -3.3349 -3.4647 2.3208" Properties=species:S:1:pos:R:3 pbc="T T T"
Cu 0.0331 0.0192 0.0000
Cu 3.9672 2.2956 0.0000
Mg 3.0025 -0.5749 1.1626
Tc 1.6632 1.7397 1.1582
```

formation energy from the elements = 313 meV/atom
calculated volume = 57.3 Å³/cell
uncorrected energy = -4.7248 eV per atom
calculated density = 7.2 g cm⁻³

No. 3
## PmSc4Pd5 (PBE-GGA)

Data for an optimized crystal structure of PmSc4Pd5.

Geometry as extended XYZ:
```
10
Lattice="-0.9408 -2.0707 2.4097 3.1633 -0.8455 0.5085 1.5556 12.8019 11.6080" Properties=species:S:1:pos:R:3 pbc="T T T"
Pm 0.0000 0.0000 0.0000
Sc 0.3272 2.6928 2.4416
Sc 0.6282 5.1699 4.6878
Sc 0.9274 7.6319 6.9202
Sc 1.2284 10.1091 9.1664
Pd 1.3018 0.1107 2.8816
Pd 1.5915 2.4945 5.0431
Pd 1.8890 4.9429 7.2631
Pd 2.1865 7.3912 9.4831
Pd 2.4762 9.7750 11.6447
```

formation energy from the elements = -866 meV/atom
calculated volume = 190.5 Å³/cell
uncorrected energy = -6.4699 eV per atom
calculated density = 7.5 g cm⁻³

No. 4
## Pm3Sm12Mg (PBE-GGA)

Data for an optimized crystal structure of Pm3Sm12Mg.

Geometry as extended XYZ:
```
16
Lattice="-3.6125 -3.1012 -1.8332 2.2009 -3.9552 2.3538 -11.4354 3.5119 16.5937" Properties=species:S:1:pos:R:3 pbc="T T T"
Pm -2.8265 0.8681 4.1015
Pm -5.7177 1.7560 8.2969
Pm -8.6089 2.6439 12.4922
Sm -0.7058 -3.5282 0.2603
Sm -3.5079 -2.6677 4.3264
Sm -6.4235 -1.7723 8.5572
Sm -9.3391 -0.8768 12.7880
Sm -3.2003 -1.1225 1.1063
Sm -6.0789 -0.2384 5.2834
Sm -8.9690 0.6491 9.4772
Sm -11.8476 1.5332 13.6543
Sm -0.2936 -1.5495 3.1998
Sm -3.1722 -0.6654 7.3769
Sm -6.0623 0.2221 11.5707
Sm -8.9409 1.1062 15.7478
Mg 0.0000 0.0000 0.0000
```

formation energy from the elements = 16 meV/atom
calculated volume = 532.4 Å³/cell
uncorrected energy = -4.5137 eV per atom
calculated density = 7.1 g cm⁻³

No. 5
## HfNb2Te (PBE-GGA)

Data for an optimized crystal structure of HfNb2Te.

Geometry as extended XYZ:
```
8
Lattice="-1.0182 3.7064 1.4469 -0.7771 -1.6500 3.6798 8.7892 2.6133 5.3197" Properties=species:S:1:pos:R:3 pbc="T T T"
Nb 1.4721 2.7333 2.6824
Nb 1.5761 0.1156 3.8225
Nb 5.9123 2.7177 5.9423
Nb 5.0274 3.7728 8.4456
Te -0.8976 1.0282 2.5633
Te 3.5573 0.9958 5.7814
Hf 0.0000 0.0000 0.0000
Hf 3.4367 3.6739 4.6649
```

calculated volume = 172.0 Å³/cell
uncorrected energy = -8.0552 eV per atom
calculated density = 9.5 g cm⁻³
energy relative to the elements, uncorrected = 0.25 eV/atom

No. 6
## Tb2Pr3Nd6Sm (PBE-GGA)

Data for an optimized crystal structure of Tb2Pr3Nd6Sm.

Geometry as extended XYZ:
```
12
Lattice="-5.7809 2.1661 -1.5169 2.0710 -5.5006 -2.4222 -3.4020 -4.7421 10.6528" Properties=species:S:1:pos:R:3 pbc="T T T"
Tb -0.5467 -2.9446 -2.1204
Tb -3.1632 -0.3899 -1.8188
Pr -0.9395 -6.5929 3.0551
Pr -6.1724 -1.4836 3.6585
Pr -3.5559 -4.0383 3.3568
Nd -6.6593 -4.7980 5.2238
Nd -3.6157 -3.6645 -0.3264
Nd -0.4526 -3.2785 1.4898
Nd -4.0389 -7.3566 4.9217
Nd -3.4962 -4.4120 7.0400
Nd -3.0730 -0.7199 1.7919
Sm 0.0000 0.0000 0.0000
```

formation energy from the elements = 14 meV/atom
calculated volume = 418.5 Å³/cell
uncorrected energy = -4.7294 eV per atom
calculated density = 7.0 g cm⁻³

No. 7
## Ac2Nd3PuSe6 (PBE-GGA)

Data for an optimized crystal structure of Ac2Nd3PuSe6.

Geometry as extended XYZ:
```
12
Lattice="4.2790 0.0000 0.0000 0.0000 8.6412 0.2960 -2.1395 -2.5002 9.0401" Properties=species:S:1:pos:R:3 pbc="T T T"
Ac 2.1395 4.1046 6.2694
Ac 0.0000 2.0364 3.0667
Nd 2.1395 4.3206 0.1480
Nd 2.1395 -0.2506 6.0461
Nd 0.0000 6.3915 3.2900
Pu 2.1395 0.0000 0.0000
Se 0.0000 6.3313 6.3457
Se 2.1395 4.2994 3.1432
Se 2.1395 -0.1903 2.9904
Se 2.1395 -0.3755 9.0237
Se 0.0000 6.5164 0.3125
Se 0.0000 1.8415 6.1930
```

calculated volume = 337.4 Å³/cell
uncorrected energy = -6.6060 eV per atom
calculated density = 7.9 g cm⁻³
energy relative to the elements, uncorrected = -1.79 eV/atom

No. 8
## AcSmPd2 (PBE-GGA)

Data for an optimized crystal structure of AcSmPd2.

Geometry as extended XYZ:
```
4
Lattice="5.2338 0.0000 0.0000 2.6169 4.5326 0.0000 2.6169 1.5109 4.2734" Properties=species:S:1:pos:R:3 pbc="T T T"
Ac 0.0000 0.0000 0.0000
Pd 2.6169 1.5109 1.0683
Pd 7.8507 4.5326 3.2050
Sm 5.2338 3.0217 2.1367
```

formation energy from the elements = -710 meV/atom
calculated volume = 101.4 Å³/cell
uncorrected energy = -5.5135 eV per atom
calculated density = 9.7 g cm⁻³
excess energy over the best structure of this formula in the dataset = 0.099 eV per atom

No. 9
## NiTeAs2 (PBE-GGA)

Data for an optimized crystal structure of NiTeAs2.

Geometry as extended XYZ:
```
4
Lattice="6.1102 -0.0229 0.0335 3.4022 5.0755 -0.0335 -4.1303 -3.7046 2.5598" Properties=species:S:1:pos:R:3 pbc="T T T"
As 8.8720 4.7124 0.0000
As 5.3965 2.8664 0.0000
Ni 3.3681 -0.6006 1.2967
Te 2.0140 1.9486 1.2632
```

calculated volume = 79.1 Å³/cell
uncorrected energy = -4.3883 eV per atom
calculated density = 7.1 g cm⁻³
energy relative to the elements, uncorrected = 0.17 eV/atom

No. 10
## MgBi3P (PBE-GGA)

Data for an optimized crystal structure of MgBi3P.

Geometry as extended XYZ:
```
5
Lattice="5.4348 0.0000 0.0000 0.0000 5.4348 0.0000 0.0000 0.0000 5.4348" Properties=species:S:1:pos:R:3 pbc="T T T"
P 2.7174 2.7174 2.7174
Mg 0.0000 0.0000 0.0000
Bi 0.0000 2.7174 0.0000
Bi 0.0000 0.0000 2.7174
Bi 2.7174 0.0000 0.0000
```

formation energy from the elements = 885 meV/atom
calculated volume = 160.5 Å³/cell
uncorrected energy = -2.8444 eV per atom
calculated density = 7.1 g cm⁻³
excess energy over the best structure of this formula in the dataset = 0.428 eV per atom

> The lowest calculated volume belongs to which entry?

MgCu2Tc

> calculated density of number 6 (Tb2Pr3Nd6Sm)?

7.0 g cm⁻³

Copy entry 2 word for word.
## MgCu2Tc (PBE-GGA)

Data for an optimized crystal structure of MgCu2Tc.

Geometry as extended XYZ:
```
4
Lattice="5.3397 0.0002 0.0044 2.6610 4.6294 -0.0044 -3.3349 -3.4647 2.3208" Properties=species:S:1:pos:R:3 pbc="T T T"
Cu 0.0331 0.0192 0.0000
Cu 3.9672 2.2956 0.0000
Mg 3.0025 -0.5749 1.1626
Tc 1.6632 1.7397 1.1582
```

formation energy from the elements = 313 meV/atom
calculated volume = 57.3 Å³/cell
uncorrected energy = -4.7248 eV per atom
calculated density = 7.2 g cm⁻³

Repeat the tenth record exactly.
## MgBi3P (PBE-GGA)

Data for an optimized crystal structure of MgBi3P.

Geometry as extended XYZ:
```
5
Lattice="5.4348 0.0000 0.0000 0.0000 5.4348 0.0000 0.0000 0.0000 5.4348" Properties=species:S:1:pos:R:3 pbc="T T T"
P 2.7174 2.7174 2.7174
Mg 0.0000 0.0000 0.0000
Bi 0.0000 2.7174 0.0000
Bi 0.0000 0.0000 2.7174
Bi 2.7174 0.0000 0.0000
```

formation energy from the elements = 885 meV/atom
calculated volume = 160.5 Å³/cell
uncorrected energy = -2.8444 eV per atom
calculated density = 7.1 g cm⁻³
excess energy over the best structure of this formula in the dataset = 0.428 eV per atom